Entry from the Alexandria database: a geometry-optimized PrPu2IrN4 structure (PBE).

The structure belongs to space group Cmcm (No. 63); the cell edges are 3.415, 11.705 and 11.756 Å and the angles 90.00°, 90.00° and 90.00°. The asymmetric unit holds Pr at (0.000, 0.107, 0.250), Pu at (0.000, 0.370, 0.052), Ir at (0.000, 0.155, 0.750), N at (0.000, 0.000, 0.000), N at (0.000, 0.268, 0.610) and N at (0.000, 0.449, 0.250).

As for the formation energy (no corrections): -0.85 eV per atom. The volume comes out at 470.0 Å³/cell. Its total energy is -329.63 eV/cell.

Entry from the Alexandria database: a geometry-optimized La8PtRh3Br4 structure (PBE).

The structure belongs to space group R-3m (No. 166, hexagonal axes); the cell edges are 8.4280, 8.4280 and 23.7835 Å and the angles 90.00°, 90.00° and 120.00°. The asymmetric unit holds La at (0.0000, 0.0000, 0.2326), La at (0.0048, 0.5024, 0.7678), Pt at (0.0000, 0.0000, 0.5000), Rh at (0.0000, 0.5000, 0.5000), Br at (0.0000, 0.0000, 0.0000) and Br at (0.0000, 0.5000, 0.0000).

As for the formation energy (no corrections): -1.23 eV per atom. The volume comes out at 1463.0 Å³/cell. Its total energy is -281.67 eV/cell.

Entry from the Alexandria database: a geometry-optimized Nd3ZnTe3 structure (PBE).

The structure belongs to space group Pnma (No. 62); the cell edges are 13.123, 4.230 and 15.262 Å and the angles 90.00°, 90.00° and 90.00°. The asymmetric unit holds Nd at (0.063, 0.250, 0.114), Nd at (0.116, 0.250, 0.565), Nd at (0.249, 0.250, 0.838), Zn at (0.017, 0.250, 0.759), Te at (0.058, 0.250, 0.361), Te at (0.157, 0.750, 0.977) and Te at (0.219, 0.750, 0.689).

As for the formation energy (no corrections): -1.06 eV per atom. The volume comes out at 847.3 Å³/cell. Its total energy is -129.75 eV/cell.

Entry from the Alexandria database: a geometry-optimized PrNi5B3 structure (PBE).

The structure belongs to space group Cmcm (No. 63); the cell edges are 3.401, 10.944 and 10.977 Å and the angles 90.00°, 90.00° and 90.00°. The asymmetric unit holds Pr at (0.000, 0.158, 0.250), Ni at (0.000, 0.000, 0.000), Ni at (0.000, 0.203, 0.565), Ni at (0.000, 0.441, 0.144), B at (0.000, 0.107, 0.750) and B at (0.000, 0.384, 0.529).

The volume comes out at 408.6 Å³/cell. Its total energy is -226.49 eV/cell. The formation energy from the elements is -280.1 kJ/mol of formula units.

Entry from the Alexandria database: a geometry-optimized PrSmDy2S6 structure (PBE).

The structure belongs to space group R3 (No. 146, hexagonal axes); the cell edges are 7.0491, 7.0491 and 18.6228 Å and the angles 90.00°, 90.00° and 120.00°. The asymmetric unit holds Pr at (0.0000, 0.0000, 0.0000), Sm at (0.0000, 0.0000, 0.4965), Dy at (0.0000, 0.0000, 0.2920), Dy at (0.0000, 0.0000, 0.7940), S at (0.0138, 0.3068, 0.8908) and S at (0.0232, 0.7170, 0.3911).

As for the formation energy (no corrections): -2.04 eV per atom. The volume comes out at 801.4 Å³/cell. Its total energy is -191.57 eV/cell.

Entry from the Alexandria database: a geometry-optimized Hf4NiH structure (PBE).

The structure belongs to space group I4_1/a (No. 88, origin choice 2); the cell edges are 5.749, 5.749 and 12.700 Å and the angles 90.00°, 90.00° and 90.00°. The asymmetric unit holds Hf at (0.142, 0.495, 0.295), Ni at (0.000, 0.250, 0.125) and H at (0.000, 0.250, 0.625).

The volume comes out at 419.7 Å³/cell. Its total energy is -200.62 eV/cell.

Entry from the Alexandria database: a geometry-optimized Al2CdIr structure (PBE).

The structure belongs to space group P4mm (No. 99); the cell edges are 3.450, 3.450 and 5.562 Å and the angles 90.00°, 90.00° and 90.00°. The asymmetric unit holds Al at (0.000, 0.000, 0.000), Al at (0.500, 0.500, 0.273), Cd at (0.000, 0.000, 0.520) and Ir at (0.500, 0.500, 0.824).

The volume comes out at 66.2 Å³/cell. Its total energy is -18.21 eV/cell. The formation energy from the elements is -91.5 kJ/mol of formula units.

Entry from the Alexandria database: a geometry-optimized CaCoC structure (PBE).

The structure belongs to space group Cm (No. 8); the cell edges are 8.837, 4.679 and 5.202 Å and the angles 90.00°, 109.67° and 90.00°. The asymmetric unit holds Ca at (0.000, 0.000, 0.000), Ca at (0.121, 0.500, 0.647), Co at (0.322, 0.251, 0.410), C at (0.011, 0.000, 0.487) and C at (0.167, 0.000, 0.485).

The volume comes out at 202.6 Å³/cell. Its total energy is -71.47 eV/cell. The formation energy from the elements is 44.8 kJ/mol of formula units. The value obtained for the distance to the lowest polymorph of the same formula is 0.282 eV/atom.

Entry from the Alexandria database: a geometry-optimized TlRe2Cl structure (PBE).

The structure belongs to space group Cm (No. 8); the cell edges are 10.430, 2.903 and 6.180 Å and the angles 90.00°, 121.59° and 90.00°. The asymmetric unit holds Tl at (0.000, 0.000, 0.000), Re at (0.282, 0.500, 0.450), Re at (0.458, 0.000, 0.382) and Cl at (0.164, 0.000, 0.665).

As for the formation energy (no corrections): 0.89 eV per atom. The volume comes out at 159.4 Å³/cell. Its total energy is -51.13 eV/cell. The value obtained for the distance to the lowest polymorph of the same formula is 0.666 eV/atom.

Entry from the Alexandria database: a geometry-optimized ScOs2Pb structure (PBE).

The structure belongs to space group P4mm (No. 99); the cell edges are 3.019, 3.019 and 8.193 Å and the angles 90.00°, 90.00° and 90.00°. The asymmetric unit holds Sc at (0.000, 0.000, 0.000), Os at (0.000, 0.000, 0.425), Os at (0.500, 0.500, 0.235) and Pb at (0.500, 0.500, 0.689).

The volume comes out at 74.7 Å³/cell. Its total energy is -31.59 eV/cell. The formation energy from the elements is 87.5 kJ/mol of formula units.

Entry from the Alexandria database: a geometry-optimized TaNiOs structure (PBE).

The structure belongs to space group I4mm (No. 107); the cell edges are 3.210, 3.210 and 8.541 Å and the angles 90.00°, 90.00° and 90.00°. The asymmetric unit holds Ta at (0.000, 0.000, 0.000), Ni at (0.000, 0.000, 0.658) and Os at (0.000, 0.000, 0.334).

The volume comes out at 88.0 Å³/cell. Its total energy is -58.36 eV/cell. The formation energy from the elements is -30.7 kJ/mol of formula units. The value obtained for the distance to the lowest polymorph of the same formula is 0.237 eV/atom.

Entry from the Alexandria database: a geometry-optimized La4AlPd structure (PBE).

The structure belongs to space group C2/c (No. 15); the cell edges are 8.928, 14.432 and 6.009 Å and the angles 90.00°, 113.46° and 90.00°. The asymmetric unit holds La at (0.118, 0.193, 0.075), La at (0.205, 0.426, 0.342), Al at (0.000, 0.380, 0.750) and Pd at (0.000, 0.003, 0.750).

The volume comes out at 710.2 Å³/cell. Its total energy is -123.27 eV/cell. The formation energy from the elements is -209.7 kJ/mol of formula units. The value obtained for the distance to the lowest polymorph of the same formula is 0.008 eV/atom.

Entry from the Alexandria database: a geometry-optimized RbLaUS4 structure (PBE).

The structure belongs to space group Imma (No. 74); the cell edges are 8.373, 8.866 and 12.299 Å and the angles 90.00°, 90.00° and 90.00°. The asymmetric unit holds Rb at (0.000, 0.250, 0.132), La at (0.000, 0.000, 0.500), U at (0.250, 0.250, 0.750), S at (0.000, 0.052, 0.735) and S at (0.219, 0.250, 0.532).

As for the formation energy (no corrections): -1.64 eV per atom. The volume comes out at 913.1 Å³/cell. Its total energy is -180.55 eV/cell.

Entry from the Alexandria database: a geometry-optimized Nd2Cd structure (PBE).

The structure belongs to space group I4/mmm (No. 139); the cell edges are 3.763, 3.763 and 13.168 Å and the angles 90.00°, 90.00° and 90.00°. The asymmetric unit holds Nd at (0.000, 0.000, 0.154) and Cd at (0.000, 0.000, 0.500).

The volume comes out at 186.4 Å³/cell. Its total energy is -22.10 eV/cell. The formation energy from the elements is -57.9 kJ/mol of formula units. The value obtained for the distance to the lowest polymorph of the same formula is 0.005 eV/atom.

Entry from the Alexandria database: a geometry-optimized Pu2ScZn structure (PBE).

The structure belongs to space group P4/mmm (No. 123); the cell edges are 4.267, 4.267 and 4.899 Å and the angles 90.00°, 90.00° and 90.00°. The asymmetric unit holds Pu at (0.000, 0.500, 0.000), Sc at (0.000, 0.000, 0.500) and Zn at (0.500, 0.500, 0.500).

The volume comes out at 89.2 Å³/cell. Its total energy is -36.20 eV/cell. The formation energy from the elements is 7.0 kJ/mol of formula units.

Entry from the Alexandria database: a geometry-optimized Pm2Nd6YTm structure (PBE).

The structure belongs to space group C2/c (No. 15); the cell edges are 9.245, 15.494 and 9.760 Å and the angles 90.00°, 97.72° and 90.00°. The asymmetric unit holds Pm at (0.250, 0.052, 0.043), Nd at (0.059, 0.183, 0.446), Nd at (0.104, 0.394, 0.618), Nd at (0.208, 0.221, 0.809), Y at (0.000, 0.023, 0.750) and Tm at (0.000, 0.410, 0.250).

The volume comes out at 1385.2 Å³/cell. Its total energy is -191.71 eV/cell. The formation energy from the elements is 107.7 kJ/mol of formula units.

Entry from the Alexandria database: a geometry-optimized SmSiPt3 structure (PBE).

The structure belongs to space group I4mm (No. 107); the cell edges are 4.070, 4.070 and 11.023 Å and the angles 90.00°, 90.00° and 90.00°. The asymmetric unit holds Sm at (0.000, 0.000, 0.000), Si at (0.000, 0.000, 0.374), Pt at (0.000, 0.000, 0.583) and Pt at (0.000, 0.500, 0.257).

As for the formation energy (no corrections): -1.09 eV per atom. The volume comes out at 182.6 Å³/cell. Its total energy is -67.41 eV/cell. The value obtained for the distance to the lowest polymorph of the same formula is 0.000 eV/atom.

Entry from the Alexandria database: a geometry-optimized AcZn2Hg2 structure (PBE).

The structure belongs to space group Fmmm (No. 69); the cell edges are 6.626, 6.651 and 10.884 Å and the angles 90.00°, 90.00° and 90.00°. The asymmetric unit holds Ac at (0.000, 0.000, 0.000), Zn at (0.000, 0.000, 0.387) and Hg at (0.250, 0.250, 0.250).

The volume comes out at 479.6 Å³/cell. Its total energy is -35.20 eV/cell. The formation energy from the elements is -148.5 kJ/mol of formula units.

Entry from the Alexandria database: a geometry-optimized Ca2P2Br structure (PBE).

The structure belongs to space group I4/mmm (No. 139); the cell edges are 3.929, 3.929 and 15.971 Å and the angles 90.00°, 90.00° and 90.00°. The asymmetric unit holds Ca at (0.000, 0.000, 0.125), P at (0.000, 0.500, 0.250) and Br at (0.000, 0.000, 0.500).

As for the formation energy (no corrections): -0.93 eV per atom. The volume comes out at 246.6 Å³/cell. Its total energy is -42.29 eV/cell. The value obtained for the distance to the lowest polymorph of the same formula is 0.183 eV/atom.

Entry from the Alexandria database: a geometry-optimized Y2TlPb structure (PBE).

The structure belongs to space group C2/m (No. 12); the cell edges are 9.763, 3.714 and 6.696 Å and the angles 90.00°, 101.47° and 90.00°. The asymmetric unit holds Y at (0.249, 0.000, 0.254), Tl at (0.000, 0.000, 0.500) and Pb at (0.000, 0.500, 0.000).

The volume comes out at 237.9 Å³/cell. Its total energy is -40.75 eV/cell. The formation energy from the elements is -132.6 kJ/mol of formula units.